[1]
Entry from Alexandria via LeMat-Bulk: TiGaB after structural relaxation (PBE).

Cell lengths 3.199, 4.718, 11.513 Å; angles 90.00, 90.00, 90.00 degrees
Space group Immm (No. 71)
Inequivalent atoms, fractional coordinates:
Ti  0.000  0.000  0.141 [4 per cell]
Ga  0.000  0.000  0.374 [4 per cell]
B  0.000  0.326  0.000 [4 per cell]

## Properties
energy of formation: 0.119 eV/atom

[2]
Entry from Alexandria via LeMat-Bulk: TiGaB3 after structural relaxation (PBE).

Cell lengths 4.196, 4.196, 4.196 Å; angles 90.00, 90.00, 90.00 degrees
Space group Pm-3m (No. 221)
Inequivalent atoms, fractional coordinates:
Ti  0.000  0.000  0.000 [1 per cell]
Ga  0.500  0.500  0.500 [1 per cell]
B  0.000  0.000  0.500 [3 per cell]

## Properties
excess energy over the best structure of this formula in the dataset: 0.000 eV/atom
energy of formation: 1.558 eV/atom

[3]
Entry from Alexandria via LeMat-Bulk: YTiGaB2 after structural relaxation (PBE).

Cell lengths 4.622, 4.622, 4.950 Å; angles 90.00, 90.00, 90.00 degrees
Space group P4/mmm (No. 123)
Inequivalent atoms, fractional coordinates:
Y  0.000  0.000  0.000 [1 per cell]
Ti  0.000  0.000  0.500 [1 per cell]
Ga  0.500  0.500  0.500 [1 per cell]
B  0.000  0.500  0.000 [2 per cell]

## Properties
energy of formation: 1.930 eV/atom

Q: Which M_tot values were calculated for the entries above? A: 0.00 0.00 0.00, in μB per formula unit.
Q: Which total DFT energy (no corrections) values were calculated for the entries above? A: -68.97 -23.16 -21.09, in eV per cell.